VASP calculation (PBE) on crystalline HoTm2CdAu4 at its relaxed geometry.

Its final energy is -33.828 eV per formula unit. Its symmetry is No. 166. As for the spin magnetization: 0.000 μB/atom. The mass density is 13299 kg/m3. The value obtained for the formation energy from the elements is -0.7853 eV/atom.

Geometry as CIF:
```
data_HoTm2CdAu4
_chemical_formula_sum 'Ho1 Tm2 Cd1 Au4'
_cell_length_a 8.678
_cell_length_b 8.678
_cell_length_c 8.678
_cell_angle_alpha 33.28
_cell_angle_beta 33.28
_cell_angle_gamma 33.28
_symmetry_space_group_name_H-M 'P 1'
_symmetry_Int_Tables_number 1
loop_
_symmetry_equiv_pos_as_xyz
'x,y,z'
loop_
_atom_site_label
_atom_site_fract_x
_atom_site_fract_y
_atom_site_fract_z
Ho1 0.000 0.000 0.000
Tm1 0.244 0.244 0.244
Tm2 0.756 0.756 0.756
Cd1 0.500 0.500 0.500
Au1 0.121 0.121 0.121
Au2 0.368 0.368 0.368
Au3 0.632 0.632 0.632
Au4 0.879 0.879 0.879
```